A plane-wave DFT calculation with GGA-PBE was carried out for AcTcP2Pd after structural relaxation.

Summary:
**Uncorrected energy**: -34.88 eV/f.u.
**D(E_F)**: 2.14 states/eV/cell

CIF file:
```
data_AcTcP2Pd
_space_group_name_H-M_alt 'P 1'
_space_group_IT_number 1
_cell_length_a 6.6412
_cell_length_b 6.6412
_cell_length_c 6.6412
_cell_angle_alpha 144.73
_cell_angle_beta 144.73
_cell_angle_gamma 50.74
loop_
_space_group_symop_operation_xyz
'x,y,z'
loop_
_atom_site_label
_atom_site_fract_x
_atom_site_fract_y
_atom_site_fract_z
Ac1 0.0000 0.0000 0.0000
Tc1 0.7500 0.2500 0.5000
P1 0.3586 0.3586 0.0000
P2 0.6414 0.6414 0.0000
Pd1 0.2500 0.7500 0.5000
```

***

A plane-wave DFT calculation with GGA-PBE was carried out for Mg2MoPb after structural relaxation.

Summary:
**Uncorrected energy**: -16.37 eV/f.u.
**D(E_F)**: 1.80 states/eV/cell

CIF file:
```
data_Mg2MoPb
_space_group_name_H-M_alt 'P 1'
_space_group_IT_number 1
_cell_length_a 3.6307
_cell_length_b 3.6307
_cell_length_c 6.1605
_cell_angle_alpha 90.00
_cell_angle_beta 90.00
_cell_angle_gamma 90.00
loop_
_space_group_symop_operation_xyz
'x,y,z'
loop_
_atom_site_label
_atom_site_fract_x
_atom_site_fract_y
_atom_site_fract_z
Mg1 0.0000 0.0000 0.0000
Mg2 0.5000 0.5000 0.2571
Mo1 0.0000 0.0000 0.4889
Pb1 0.5000 0.5000 0.7222
```

***

A plane-wave DFT calculation with GGA-PBE was carried out for NaYBeS2 after structural relaxation.

Summary:
**D(E_F)**: 2.62 states/eV/cell
**E_form (uncorrected)**: 0.169 eV/atom

CIF file:
```
data_NaYBeS2
_space_group_name_H-M_alt 'P 1'
_space_group_IT_number 1
_cell_length_a 5.1527
_cell_length_b 5.1527
_cell_length_c 6.8901
_cell_angle_alpha 90.00
_cell_angle_beta 90.00
_cell_angle_gamma 90.00
loop_
_space_group_symop_operation_xyz
'x,y,z'
loop_
_atom_site_label
_atom_site_fract_x
_atom_site_fract_y
_atom_site_fract_z
Na1 0.0000 0.0000 0.0000
Y1 0.0000 0.0000 0.5000
Be1 0.5000 0.5000 0.0000
S1 0.0000 0.5000 0.5000
S2 0.5000 0.0000 0.5000
```

***

A plane-wave DFT calculation with GGA-PBE was carried out for PmGeRh2C after structural relaxation.

Summary:
**Uncorrected energy**: -36.27 eV/f.u.
**D(E_F)**: 3.62 states/eV/cell

CIF file:
```
data_PmGeRh2C
_space_group_name_H-M_alt 'P 1'
_space_group_IT_number 1
_cell_length_a 6.0201
_cell_length_b 6.0201
_cell_length_c 7.3306
_cell_angle_alpha 90.00
_cell_angle_beta 90.00
_cell_angle_gamma 141.71
loop_
_space_group_symop_operation_xyz
'x,y,z'
loop_
_atom_site_label
_atom_site_fract_x
_atom_site_fract_y
_atom_site_fract_z
Pm1 0.0472 0.9528 0.7500
Pm2 0.9528 0.0472 0.2500
Ge1 0.2303 0.7697 0.2500
Ge2 0.7697 0.2303 0.7500
Rh1 0.3396 0.6604 0.5530
Rh2 0.3396 0.6604 0.9470
Rh3 0.6604 0.3396 0.0530
Rh4 0.6604 0.3396 0.4470
C1 0.5000 0.5000 0.0000
C2 0.5000 0.5000 0.5000
```

***

A plane-wave DFT calculation with GGA-PBE was carried out for BaNaF2 after structural relaxation.

Summary:
**Offset from the most stable computed form**: 210.9 meV/atom
**D(E_F)**: 2.14 states/eV/cell
**E_form (uncorrected)**: -2.569 eV/atom

CIF file:
```
data_BaNaF2
_space_group_name_H-M_alt 'P 1'
_space_group_IT_number 1
_cell_length_a 7.5623
_cell_length_b 7.5623
_cell_length_c 7.5623
_cell_angle_alpha 133.85
_cell_angle_beta 133.85
_cell_angle_gamma 67.33
loop_
_space_group_symop_operation_xyz
'x,y,z'
loop_
_atom_site_label
_atom_site_fract_x
_atom_site_fract_y
_atom_site_fract_z
Ba1 0.0000 0.0000 0.0000
Ba2 0.7500 0.2500 0.5000
Na1 0.2500 0.7500 0.5000
Na2 0.5000 0.5000 0.0000
F1 0.1107 0.6250 0.9857
F2 0.3750 0.3607 0.4857
F3 0.6393 0.1250 0.0143
F4 0.8750 0.8893 0.5143
```

***

A plane-wave DFT calculation with GGA-PBE was carried out for La5MgSn3 after structural relaxation.

Summary:
**Uncorrected energy**: -43.88 eV/f.u.
**D(E_F)**: 18.83 states/eV/cell

CIF file:
```
data_La5MgSn3
_space_group_name_H-M_alt 'P 1'
_space_group_IT_number 1
_cell_length_a 9.8137
_cell_length_b 9.8137
_cell_length_c 6.8122
_cell_angle_alpha 90.00
_cell_angle_beta 90.00
_cell_angle_gamma 120.00
loop_
_space_group_symop_operation_xyz
'x,y,z'
loop_
_atom_site_label
_atom_site_fract_x
_atom_site_fract_y
_atom_site_fract_z
La1 0.0000 0.2992 0.2500
La2 0.0000 0.7008 0.7500
La3 0.2992 0.0000 0.2500
La4 0.2992 0.2992 0.7500
La5 0.3333 0.6667 0.0000
La6 0.3333 0.6667 0.5000
La7 0.6667 0.3333 0.0000
La8 0.6667 0.3333 0.5000
La9 0.7008 0.0000 0.7500
La10 0.7008 0.7008 0.2500
Mg1 0.0000 0.0000 0.0000
Mg2 0.0000 0.0000 0.5000
Sn1 0.0000 0.3604 0.7500
Sn2 0.0000 0.6396 0.2500
Sn3 0.3604 0.0000 0.7500
Sn4 0.3604 0.3604 0.2500
Sn5 0.6396 0.0000 0.2500
Sn6 0.6396 0.6396 0.7500
```

***

A plane-wave DFT calculation with GGA-PBE was carried out for MgMn2Cd2 after structural relaxation.

Summary:
**Offset from the most stable computed form**: 0.0 meV/atom
**D(E_F)**: 9.14 states/eV/cell

CIF file:
```
data_MgMn2Cd2
_space_group_name_H-M_alt 'P 1'
_space_group_IT_number 1
_cell_length_a 7.7009
_cell_length_b 7.7009
_cell_length_c 3.2576
_cell_angle_alpha 90.00
_cell_angle_beta 90.00
_cell_angle_gamma 90.00
loop_
_space_group_symop_operation_xyz
'x,y,z'
loop_
_atom_site_label
_atom_site_fract_x
_atom_site_fract_y
_atom_site_fract_z
Mg1 0.0000 0.0000 0.0000
Mg2 0.5000 0.5000 0.0000
Mn1 0.1646 0.3354 0.5000
Mn2 0.3354 0.8354 0.5000
Mn3 0.6646 0.1646 0.5000
Mn4 0.8354 0.6646 0.5000
Cd1 0.1346 0.6346 0.0000
Cd2 0.3654 0.1346 0.0000
Cd3 0.6346 0.8654 0.0000
Cd4 0.8654 0.3654 0.0000
```

***

A plane-wave DFT calculation with GGA-PBE was carried out for Y8As3PS3 after structural relaxation.

Summary:
**D(E_F)**: 6.63 states/eV/cell
**E_form (uncorrected)**: -1.662 eV/atom

CIF file:
```
data_Y8As3PS3
_space_group_name_H-M_alt 'P 1'
_space_group_IT_number 1
_cell_length_a 8.0288
_cell_length_b 8.0288
_cell_length_c 8.0288
_cell_angle_alpha 59.75
_cell_angle_beta 59.75
_cell_angle_gamma 59.75
loop_
_space_group_symop_operation_xyz
'x,y,z'
loop_
_atom_site_label
_atom_site_fract_x
_atom_site_fract_y
_atom_site_fract_z
Y1 0.2497 0.2497 0.2497
Y2 0.2521 0.7451 0.7451
Y3 0.2549 0.2549 0.7479
Y4 0.2549 0.7479 0.2549
Y5 0.7451 0.2521 0.7451
Y6 0.7451 0.7451 0.2521
Y7 0.7479 0.2549 0.2549
Y8 0.7503 0.7503 0.7503
As1 0.0000 0.5000 0.5000
As2 0.5000 0.0000 0.5000
As3 0.5000 0.5000 0.0000
P1 0.5000 0.5000 0.5000
S1 0.0000 0.0000 0.5000
S2 0.0000 0.5000 0.0000
S3 0.5000 0.0000 0.0000
```

***

A plane-wave DFT calculation with GGA-PBE was carried out for NaBrF5 after structural relaxation.

Summary:
**D(E_F)**: 1.29 states/eV/cell
**E_form (uncorrected)**: -1.455 eV/atom

CIF file:
```
data_NaBrF5
_space_group_name_H-M_alt 'P 1'
_space_group_IT_number 1
_cell_length_a 5.6778
_cell_length_b 5.6778
_cell_length_c 8.9899
_cell_angle_alpha 113.70
_cell_angle_beta 113.70
_cell_angle_gamma 66.66
loop_
_space_group_symop_operation_xyz
'x,y,z'
loop_
_atom_site_label
_atom_site_fract_x
_atom_site_fract_y
_atom_site_fract_z
Na1 0.0376 0.9624 0.7500
Na2 0.9624 0.0376 0.2500
Br1 0.5000 0.5000 0.0000
Br2 0.5000 0.5000 0.5000
F1 0.1705 0.7611 0.0263
F2 0.2292 0.3223 0.3771
F3 0.2389 0.8295 0.4737
F4 0.3223 0.2292 0.8771
F5 0.4289 0.5711 0.7500
F6 0.5711 0.4289 0.2500
F7 0.6777 0.7708 0.1229
F8 0.7611 0.1705 0.5263
F9 0.7708 0.6777 0.6229
F10 0.8295 0.2389 0.9737
```

***

A plane-wave DFT calculation with GGA-PBE was carried out for TaAl2Tl after structural relaxation.

Summary:
**Offset from the most stable computed form**: 515.3 meV/atom
**D(E_F)**: 5.10 states/eV/cell

CIF file:
```
data_TaAl2Tl
_space_group_name_H-M_alt 'P 1'
_space_group_IT_number 1
_cell_length_a 6.0907
_cell_length_b 6.0907
_cell_length_c 6.0907
_cell_angle_alpha 102.95
_cell_angle_beta 102.95
_cell_angle_gamma 123.50
loop_
_space_group_symop_operation_xyz
'x,y,z'
loop_
_atom_site_label
_atom_site_fract_x
_atom_site_fract_y
_atom_site_fract_z
Ta1 0.0000 0.0000 0.0000
Ta2 0.7500 0.2500 0.5000
Al1 0.1168 0.6250 0.9918
Al2 0.3750 0.3668 0.4918
Al3 0.6332 0.1250 0.0082
Al4 0.8750 0.8832 0.5082
Tl1 0.2500 0.7500 0.5000
Tl2 0.5000 0.5000 0.0000
```